No. 1
Compound: KTlHg2
Source: Alexandria via LeMat-Bulk
Functional: GGA-PBEsol
Structure: relaxed

```
KTlHg2
1.0
-2.766 -2.889 -1.579
2.376 -3.853 2.886
-2.850 4.264 3.046
K Tl Hg
1 1 2
direct
0.496 0.496 0.991
0.275 0.775 0.549
0.007 0.007 0.014
0.723 0.223 0.446
```

Spin magnetization, μB per cell: 0.00
Energy above the most stable polymorph in this dataset, meV/atom: 30.1
Formation energy from the elements, eV/atom: -0.122
Symmetry: Imm2, No. 44
Crystal system: orthorhombic

---

No. 2
Compound: KTlHg2
Source: Alexandria via LeMat-Bulk
Functional: GGA-PBEsol
Structure: relaxed

```
KTlHg2
1.0
3.465 0.000 0.151
0.000 4.382 0.000
-0.359 0.000 7.444
K Tl Hg
1 1 2
direct
0.500 0.500 0.000
0.500 0.500 0.500
0.003 0.000 0.278
0.997 0.000 0.722
```

Spin magnetization, μB per cell: 0.00
Energy above the most stable polymorph in this dataset, meV/atom: 9.3
Formation energy from the elements, eV/atom: -0.143
Symmetry: P2/m, No. 10
Crystal system: monoclinic